Record 1
CoReSbAu: optimized geometry, PBE.

Output
size of the total moment = 1.0 μB/f.u.
crystal system = cubic
calculated total energy = -6.195 eV per atom

Cell: 4.5038 4.5038 4.5038 Å, 60.00 60.00 60.00°
Positions (direct):
Co1 0.0000 0.0000 0.0000
Re1 0.5000 0.5000 0.5000
Sb1 0.7500 0.7500 0.7500
Au1 0.2500 0.2500 0.2500

---

Record 2
La2Ga2Ni3Pd: optimized geometry, PBE.

Output
size of the total moment = 0.0 μB/f.u.
crystal system = trigonal
calculated total energy = -5.319 eV per atom

Cell: 4.2685 4.2685 9.6300 Å, 90.00 90.00 120.00°
Positions (direct):
La1 0.0000 0.0000 0.0000
La2 0.3333 0.6667 0.4868
Ga1 0.6667 0.3333 0.2420
Ga2 0.6667 0.3333 0.7293
Ni1 0.0000 0.0000 0.2878
Ni2 0.0000 0.0000 0.6859
Ni3 0.3333 0.6667 0.1949
Pd1 0.3333 0.6667 0.8077

---

Record 3
CdBiSbO: optimized geometry, PBE.

Output
crystal system = orthorhombic
calculated total energy = -3.893 eV per atom

Cell: 10.0555 19.5364 4.1046 Å, 90.00 90.00 90.00°
Positions (direct):
Cd1 0.0452 0.0762 0.0000
Cd2 0.0790 0.6160 0.0000
Cd3 0.4210 0.1160 0.0000
Cd4 0.4548 0.5762 0.0000
Cd5 0.5452 0.4238 0.0000
Cd6 0.5790 0.8840 0.0000
Cd7 0.9210 0.3840 0.0000
Cd8 0.9548 0.9238 0.0000
Bi1 0.0153 0.2338 0.5000
Bi2 0.2393 0.3841 0.5000
Bi3 0.2607 0.8841 0.5000
Bi4 0.4847 0.7338 0.5000
Bi5 0.5153 0.2662 0.5000
Bi6 0.7393 0.1159 0.5000
Bi7 0.7607 0.6159 0.5000
Bi8 0.9847 0.7662 0.5000
Sb1 0.2264 0.4922 0.0000
Sb2 0.2290 0.2342 0.0000
Sb3 0.2710 0.7342 0.0000
Sb4 0.2736 0.9922 0.0000
Sb5 0.7264 0.0078 0.0000
Sb6 0.7290 0.2658 0.0000
Sb7 0.7710 0.7658 0.0000
Sb8 0.7736 0.5078 0.0000
O1 0.0108 0.3602 0.5000
O2 0.0155 0.8865 0.5000
O3 0.4845 0.3865 0.5000
O4 0.4892 0.8602 0.5000
O5 0.5108 0.1398 0.5000
O6 0.5155 0.6135 0.5000
O7 0.9845 0.1135 0.5000
O8 0.9892 0.6398 0.5000

---

Record 4
PrNdNi4Sn2: optimized geometry, PBE.

Output
size of the total moment = 0.0 μB/f.u.
crystal system = hexagonal
calculated total energy = -5.440 eV per atom

Cell: 4.4074 4.4074 9.1405 Å, 90.00 90.00 120.00°
Positions (direct):
Pr1 0.0000 0.0000 0.0000
Nd1 0.6667 0.3333 0.5000
Ni1 0.0000 0.0000 0.3199
Ni2 0.0000 0.0000 0.6801
Ni3 0.6667 0.3333 0.1844
Ni4 0.6667 0.3333 0.8156
Sn1 0.3333 0.6667 0.2522
Sn2 0.3333 0.6667 0.7478